[1]
# CaScSi2

A relaxed structure of CaScSi2 (PBE, Alexandria via LeMat-Bulk).

Total moment   0.000 μB/cell
Crystal system   tetragonal
ΔE_f (raw)   -38.9 kJ per mole of atoms
Energy relative to the lowest polymorph listed for this composition   0.19 eV per formula unit

Geometry as extended XYZ:
```
4
Lattice="3.115 0.000 0.000 0.000 3.115 0.000 0.000 0.000 8.094" Properties=species:S:1:pos:R:3 pbc="T T T"
Ca 0.000 0.000 0.000
Sc 0.000 0.000 4.047
Si 1.557 1.557 2.176
Si 1.557 1.557 5.918
```

---

[2]
# CoBiN2

A relaxed structure of CoBiN2 (PBE, Alexandria via LeMat-Bulk).

Total moment   0.000 μB/cell
Crystal system   tetragonal
ΔE_f (raw)   58.8 kJ per mole of atoms

Geometry as extended XYZ:
```
16
Lattice="5.087 0.000 0.000 0.000 5.087 0.000 0.000 0.000 8.841" Properties=species:S:1:pos:R:3 pbc="T T T"
Co 0.000 0.000 0.000
Co 0.000 2.543 2.210
Co 2.543 0.000 6.631
Co 2.543 2.543 4.421
Bi 0.000 0.000 4.421
Bi 0.000 2.543 6.631
Bi 2.543 0.000 2.210
Bi 2.543 2.543 0.000
N 0.757 1.272 1.105
N 1.272 3.301 3.315
N 1.272 4.329 7.736
N 1.786 1.272 5.526
N 3.301 3.815 5.526
N 3.815 0.757 7.736
N 3.815 1.786 3.315
N 4.329 3.815 1.105
```

---

[3]
# ZnGaO2

A relaxed structure of ZnGaO2 (PBE, Alexandria via LeMat-Bulk).

Total moment   0.000 μB/cell
Crystal system   tetragonal
ΔE_f (raw)   -123.9 kJ per mole of atoms
Energy relative to the lowest polymorph listed for this composition   0.15 eV per formula unit

Geometry as extended XYZ:
```
16
Lattice="4.724 0.000 0.000 0.000 4.724 0.000 0.000 0.000 9.435" Properties=species:S:1:pos:R:3 pbc="T T T"
Zn 0.000 0.000 0.000
Zn 0.000 2.362 2.359
Zn 2.362 0.000 7.076
Zn 2.362 2.362 4.718
Ga 0.000 0.000 4.718
Ga 0.000 2.362 7.076
Ga 2.362 0.000 2.359
Ga 2.362 2.362 0.000
O 1.123 1.181 5.897
O 1.181 3.485 8.256
O 1.181 3.601 3.538
O 1.239 1.181 1.179
O 3.485 3.543 1.179
O 3.543 1.123 3.538
O 3.543 1.239 8.256
O 3.601 3.543 5.897
```

---

[4]
# NaZn3C4O12

A relaxed structure of NaZn3C4O12 (PBE, Alexandria via LeMat-Bulk).

Total moment   0.905 μB/cell
Crystal system   trigonal
ΔE_f (raw)   -133.6 kJ per mole of atoms

Geometry as extended XYZ:
```
20
Lattice="4.815 2.780 2.666 -4.815 2.780 2.666 0.000 -5.560 2.666" Properties=species:S:1:pos:R:3 pbc="T T T"
Na 0.000 0.000 0.000
Zn -2.582 -1.088 2.666
Zn 2.233 -1.692 2.666
Zn 0.348 2.780 2.666
C -2.215 -3.836 3.998
C 0.000 0.000 3.998
C -2.215 3.836 3.998
C 4.430 0.000 3.998
O -2.882 -2.750 3.824
O -3.896 0.000 3.998
O -0.941 -3.872 4.172
O -1.294 0.000 3.998
O -2.883 2.750 4.172
O 1.948 -3.374 3.998
O 0.647 -1.120 3.998
O -0.941 3.872 3.824
O 0.647 1.120 3.998
O 3.823 -1.121 3.824
O 1.948 3.374 3.998
O 3.823 1.121 4.172
```

---

[5]
# Th2Se3

A relaxed structure of Th2Se3 (PBE, Alexandria via LeMat-Bulk).

Total moment   0.001 μB/cell
Crystal system   orthorhombic
ΔE_f (raw)   -164.7 kJ per mole of atoms

Geometry as extended XYZ:
```
20
Lattice="11.360 0.000 0.000 0.000 4.069 0.000 0.000 0.000 11.440" Properties=species:S:1:pos:R:3 pbc="T T T"
Th 0.227 1.017 2.113
Th 2.248 1.017 5.881
Th 3.433 3.052 0.161
Th 5.453 3.052 7.833
Th 5.907 1.017 3.607
Th 7.928 1.017 11.278
Th 9.113 3.052 5.558
Th 11.133 3.052 9.326
Se 0.597 3.052 4.320
Se 1.396 1.017 10.801
Se 2.491 3.052 8.061
Se 3.189 1.017 2.341
Se 4.284 3.052 5.081
Se 5.083 1.017 10.040
Se 6.278 3.052 1.400
Se 7.077 1.017 6.359
Se 8.171 3.052 9.099
Se 8.869 1.017 3.379
Se 9.964 3.052 0.639
Se 10.763 1.017 7.120
```

---

[6]
# SbAsP2

A relaxed structure of SbAsP2 (PBE, Alexandria via LeMat-Bulk).

Total moment   0.000 μB/cell
Crystal system   monoclinic
ΔE_f (raw)   17.2 kJ per mole of atoms
Energy relative to the lowest polymorph listed for this composition   0.37 eV per formula unit

Geometry as extended XYZ:
```
8
Lattice="6.634 0.000 0.000 0.000 3.812 0.000 -2.249 0.000 6.307" Properties=species:S:1:pos:R:3 pbc="T T T"
Sb 0.000 0.000 0.000
Sb 3.317 1.906 0.000
As -1.125 1.906 3.153
As 2.192 0.000 3.153
P -0.028 0.000 4.628
P 1.095 1.906 1.679
P 3.289 1.906 4.628
P 4.412 0.000 1.679
```